DFT (PBE) results for a relaxed structure of NaPaBiSb.

Total moment   0.026 μB per atom
Energy relative to the elements, uncorrected   -0.21 eV/atom
E_tot   -19.7 eV per cell
SG   No. 216

Unit cell a=5.3758 b=5.3758 c=5.3758 alpha=60.00 beta=60.00 gamma=60.00
Last column: nearest neighbours and their distance in Å.
Fractional coordinates of all 4 atoms:
Sb: 0.2500 0.2500 0.2500  4 Na 3.29, 4 Pa 3.29
Pa: 0.5000 0.5000 0.5000  4 Sb 3.29, 4 Bi 3.29
Bi: 0.7500 0.7500 0.7500  4 Pa 3.29, 4 Na 3.29
Na: 0.0000 0.0000 0.0000  4 Bi 3.29, 4 Sb 3.29

---

DFT (PBE) results for a relaxed structure of NaPaBi2Se6.

Total moment   0.000 μB per atom
Energy relative to the elements, uncorrected   -0.82 eV/atom
E_tot   -47.7 eV per cell
SG   No. 146

Unit cell a=7.3524 b=7.3524 c=7.8424 alpha=62.04 beta=62.04 gamma=60.00
Last column: nearest neighbours and their distance in Å.
Fractional coordinates of all 10 atoms:
Na: 0.8161 0.8162 0.5516  6 Se 2.94-3.08
Pa: 0.3249 0.3249 0.0254  6 Se 2.79-2.80
Bi: 0.5164 0.5164 0.4508  6 Se 2.97
Bi: 0.0104 0.0104 0.9688  6 Se 2.94-2.98
Se: 0.5862 0.2220 0.2483  1 Pa 2.79, 2 Bi 2.97-2.98, 1 Na 3.08
Se: 0.2220 0.9435 0.2483  1 Pa 2.79, 2 Bi 2.97-2.98, 1 Na 3.08
Se: 0.9436 0.5862 0.2483  1 Pa 2.79, 2 Bi 2.97-2.98, 1 Na 3.08
Se: 0.4130 0.7106 0.7579  1 Pa 2.80, 1 Na 2.94, 2 Bi 2.94-2.97
Se: 0.7106 0.1185 0.7579  1 Pa 2.80, 1 Na 2.94, 2 Bi 2.94-2.97
Se: 0.1185 0.4130 0.7580  1 Pa 2.80, 1 Na 2.94, 2 Bi 2.94-2.97

---

DFT (PBE) results for a relaxed structure of Na2PaBi2Se6.

Total moment   0.095 μB per atom
Energy relative to the elements, uncorrected   -0.91 eV/atom
E_tot   -50.8 eV per cell
SG   No. 12

Unit cell a=7.3021 b=7.3021 c=7.5554 alpha=99.83 beta=99.83 gamma=119.38
Last column: nearest neighbours and their distance in Å.
Fractional coordinates of all 11 atoms:
Na: 0.8286 0.1714 0.0000  6 Se 3.08-3.13
Na: 0.1714 0.8286 0.0000  6 Se 3.08-3.13
Pa: 0.0000 0.0000 0.5000  6 Se 2.86-2.89
Bi: 0.3319 0.6681 0.5000  6 Se 2.93-3.00
Bi: 0.6681 0.3319 0.5000  6 Se 2.93-3.00
Se: 0.7626 0.7626 0.7306  1 Pa 2.86, 2 Bi 3.00, 2 Na 3.08
Se: 0.0771 0.4053 0.7304  1 Pa 2.89, 2 Bi 2.93-2.99, 2 Na 3.08-3.13
Se: 0.2374 0.2374 0.2694  1 Pa 2.86, 2 Bi 3.00, 2 Na 3.08
Se: 0.4053 0.0771 0.7304  1 Pa 2.89, 2 Bi 2.93-2.99, 2 Na 3.08-3.13
Se: 0.9229 0.5947 0.2696  1 Pa 2.89, 2 Bi 2.93-2.99, 2 Na 3.08-3.13
Se: 0.5947 0.9229 0.2696  1 Pa 2.89, 2 Bi 2.93-2.99, 2 Na 3.08-3.13

---

DFT (PBE) results for a relaxed structure of Na2PaBiSe4.

Total moment   0.221 μB per atom
Energy relative to the elements, uncorrected   -0.97 eV/atom
E_tot   -37.7 eV per cell
SG   No. 10

Unit cell a=4.2140 b=7.3848 c=7.4597 alpha=108.89 beta=90.00 gamma=90.00
Last column: nearest neighbours and their distance in Å.
Fractional coordinates of all 8 atoms:
Na: 0.5000 0.0000 0.5000  6 Se 3.10-3.14
Na: 0.0000 0.5000 0.5000  6 Se 3.03-3.04
Pa: 0.5000 0.5000 0.0000  6 Se 2.90-2.94
Bi: 0.0000 0.0000 0.0000  6 Se 2.99-3.01
Se: 0.5000 0.2560 0.2367  1 Pa 2.90, 2 Bi 2.99, 3 Na 3.04-3.14
Se: 0.5000 0.7440 0.7633  1 Pa 2.90, 2 Bi 2.99, 3 Na 3.04-3.14
Se: 0.0000 0.2624 0.7640  2 Pa 2.94, 1 Bi 3.01, 3 Na 3.03-3.10
Se: 0.0000 0.7376 0.2360  2 Pa 2.94, 1 Bi 3.01, 3 Na 3.03-3.10

---

DFT (PBE) results for a relaxed structure of NaPaSnBi.

Total moment   0.044 μB per atom
E_tot   -18.8 eV per cell
ΔH_f (0 K)   -0.0329 eV per atom
SG   No. 216

Unit cell a=5.3728 b=5.3728 c=5.3728 alpha=60.00 beta=60.00 gamma=60.00
Last column: nearest neighbours and their distance in Å.
Fractional coordinates of all 4 atoms:
Na: 0.5000 0.5000 0.5000  4 Bi 3.29, 4 Sn 3.29
Pa: 0.0000 0.0000 0.0000  4 Sn 3.29, 4 Bi 3.29
Bi: 0.7500 0.7500 0.7500  4 Pa 3.29, 4 Na 3.29
Sn: 0.2500 0.2500 0.2500  4 Na 3.29, 4 Pa 3.29

---

DFT (PBE) results for a relaxed structure of Na2TbPaBi4.

Total moment   0.000 μB per atom
E_tot   -34.4 eV per cell
ΔH_f (0 K)   -0.2676 eV per atom
SG   No. 10

Unit cell a=5.1168 b=7.4702 c=7.8278 alpha=119.18 beta=90.00 gamma=90.00
Last column: nearest neighbours and their distance in Å.
Fractional coordinates of all 8 atoms:
Na: 0.5000 0.0000 0.5000  6 Bi 3.26-3.41
Na: 0.0000 0.5000 0.5000  6 Bi 3.25-3.36
Tb: 0.0000 0.0000 0.0000  6 Bi 3.17-3.23
Pa: 0.5000 0.5000 0.0000  6 Bi 3.16-3.19
Bi: 0.5000 0.2499 0.2343  2 Tb 3.17, 1 Pa 3.19, 3 Na 3.25-3.41
Bi: 0.5000 0.7501 0.7657  2 Tb 3.17, 1 Pa 3.19, 3 Na 3.25-3.41
Bi: 0.0000 0.2551 0.7644  2 Pa 3.16, 1 Tb 3.23, 3 Na 3.26-3.36
Bi: 0.0000 0.7449 0.2356  2 Pa 3.16, 1 Tb 3.23, 3 Na 3.26-3.36

---

DFT (PBE) results for a relaxed structure of Na2PaBiTe4.

Total moment   0.228 μB per atom
Energy relative to the elements, uncorrected   -0.66 eV/atom
E_tot   -33.9 eV per cell
SG   No. 10

Unit cell a=4.4514 b=7.8871 c=8.0160 alpha=108.35 beta=90.00 gamma=90.00
Last column: nearest neighbours and their distance in Å.
Fractional coordinates of all 8 atoms:
Na: 0.5000 0.0000 0.5000  6 Te 3.29-3.32
Na: 0.0000 0.5000 0.5000  6 Te 3.25-3.26
Pa: 0.5000 0.5000 0.0000  6 Te 3.13-3.15
Bi: 0.0000 0.0000 0.0000  6 Te 3.19-3.21
Te: 0.5000 0.2519 0.2376  1 Pa 3.13, 2 Bi 3.19, 3 Na 3.26-3.32
Te: 0.5000 0.7481 0.7624  1 Pa 3.13, 2 Bi 3.19, 3 Na 3.26-3.32
Te: 0.0000 0.2590 0.7619  2 Pa 3.15, 1 Bi 3.21, 3 Na 3.25-3.29
Te: 0.0000 0.7410 0.2381  2 Pa 3.15, 1 Bi 3.21, 3 Na 3.25-3.29

---

DFT (PBE) results for a relaxed structure of Na3PaBi3Te8.

Total moment   0.062 μB per atom
Energy relative to the elements, uncorrected   -0.58 eV/atom
E_tot   -58.9 eV per cell
SG   No. 166

Unit cell a=9.0111 b=9.0118 c=9.2592 alpha=119.13 beta=90.00 gamma=120.00
Last column: nearest neighbours and their distance in Å.
Fractional coordinates of all 15 atoms:
Na: 0.0000 0.0000 0.0000  6 Te 3.29
Na: 0.0000 0.5000 0.0000  6 Te 3.29
Na: 0.5000 0.5000 0.0000  6 Te 3.29
Pa: 0.0000 0.0000 0.5000  6 Te 3.10
Bi: 0.5000 0.0000 0.5000  6 Te 3.17
Bi: 0.5000 0.5000 0.5000  6 Te 3.17
Bi: 0.0000 0.5000 0.5000  6 Te 3.17
Te: 0.2545 0.5089 0.2635  3 Bi 3.17, 3 Na 3.29
Te: 0.7455 0.4911 0.7365  3 Bi 3.17, 3 Na 3.29
Te: 0.7602 0.5204 0.2690  1 Pa 3.10, 2 Bi 3.17, 2 Na 3.29
Te: 0.2398 0.4796 0.7310  1 Pa 3.10, 2 Bi 3.17, 2 Na 3.29
Te: 0.7602 0.0086 0.2690  1 Pa 3.10, 2 Bi 3.17, 2 Na 3.29
Te: 0.2398 0.9914 0.7310  1 Pa 3.10, 2 Bi 3.17, 2 Na 3.29
Te: 0.2484 0.0086 0.2690  1 Pa 3.10, 2 Bi 3.17, 2 Na 3.29
Te: 0.7516 0.9914 0.7310  1 Pa 3.10, 2 Bi 3.17, 2 Na 3.29